Record 1
A relaxed SmDyZnHg crystal, computed with PBE.

The offset from the most stable computed form is 24 meV per atom. The volume is 25.2 Å³ per atom. The value obtained for the total magnetic moment is 0.65 μB/f.u. The total energy comes out at -49.72 eV per cell. As for the formation energy from the elements: -383.0 meV/atom.

The space group is F-43m (No. 216) and the conventional cell measures 7.385, 7.385 and 7.385 Å, with angles of 90.00, 90.00 and 90.00 degrees. The inequivalent atoms are Sm at (0.000, 0.000, 0.000), Dy at (0.000, 0.000, 0.500), Zn at (0.250, 0.250, 0.750) and Hg at (0.250, 0.250, 0.250).



Record 2
A relaxed CeThHgOs crystal, computed with PBE.

The offset from the most stable computed form is 152 meV per atom. The volume is 24.4 Å³ per atom. The value obtained for the total magnetic moment is 0.51 μB/f.u. The total energy comes out at -101.44 eV per cell. As for the formation energy from the elements: -118.4 meV/atom.

The space group is F-43m (No. 216) and the conventional cell measures 7.309, 7.309 and 7.309 Å, with angles of 90.00, 90.00 and 90.00 degrees. The inequivalent atoms are Ce at (0.000, 0.000, 0.000), Th at (0.000, 0.000, 0.500), Hg at (0.250, 0.250, 0.250) and Os at (0.250, 0.250, 0.750).



Record 3
A relaxed BaLiIr2 crystal, computed with PBE.

The offset from the most stable computed form is 627 meV per atom. The volume is 19.6 Å³ per atom. The value obtained for the total magnetic moment is 0.39 μB/f.u. The total energy comes out at -19.77 eV per cell. As for the formation energy from the elements: 446.5 meV/atom.

The space group is P4/mmm (No. 123) and the conventional cell measures 4.050, 4.050 and 4.770 Å, with angles of 90.00, 90.00 and 90.00 degrees. The inequivalent atoms are Ba at (0.000, 0.000, 0.000), Li at (0.500, 0.500, 0.000) and Ir at (0.000, 0.500, 0.500).



Record 4
A relaxed Rb2CuNi4 crystal, computed with PBE.

The volume is 25.4 Å³ per atom. The value obtained for the total magnetic moment is 2.60 μB/f.u. The total energy comes out at -43.15 eV per cell. As for the formation energy from the elements: 1083.4 meV/atom.

The space group is I4/mmm (No. 139) and the conventional cell measures 4.589, 4.589 and 16.906 Å, with angles of 90.00, 90.00 and 90.00 degrees. The inequivalent atoms are Rb at (0.000, 0.000, 0.155), Cu at (0.000, 0.000, 0.500), Ni at (0.000, 0.000, 0.371) and Ni at (0.000, 0.500, 0.000).



Record 5
A relaxed Na2Al2InAu5 crystal, computed with PBE.

The volume is 20.5 Å³ per atom. The value obtained for the total magnetic moment is 0.00 μB/f.u. The total energy comes out at -65.50 eV per cell. As for the formation energy from the elements: -350.2 meV/atom.

The space group is P4/mbm (No. 127) and the conventional cell measures 11.190, 11.190 and 3.268 Å, with angles of 90.00, 90.00 and 90.00 degrees. The inequivalent atoms are Na at (0.173, 0.327, 0.000), Al at (0.129, 0.629, 0.000), In at (0.000, 0.000, 0.000), Au at (0.000, 0.500, 0.500) and Au at (0.067, 0.798, 0.500).



Record 6
A relaxed NaTbCd4 crystal, computed with PBE.

The offset from the most stable computed form is 0 meV per atom. The volume is 24.8 Å³ per atom. The value obtained for the total magnetic moment is 0.00 μB/f.u. The total energy comes out at -21.01 eV per cell. As for the formation energy from the elements: -149.2 meV/atom.

The space group is C2/m (No. 12) and the conventional cell measures 10.757, 3.780 and 7.857 Å, with angles of 90.00, 111.44 and 90.00 degrees. The inequivalent atoms are Na at (0.000, 0.000, 0.000), Tb at (0.000, 0.000, 0.500), Cd at (0.171, 0.500, 0.333) and Cd at (0.173, 0.500, 0.838).



Record 7
A relaxed Cr2CdRu crystal, computed with PBE.

The volume is 14.2 Å³ per atom. The value obtained for the total magnetic moment is 0.03 μB/f.u. The total energy comes out at -54.38 eV per cell. As for the formation energy from the elements: 562.1 meV/atom.

The space group is Cmmm (No. 65) and the conventional cell measures 5.364, 7.801 and 2.710 Å, with angles of 90.00, 90.00 and 90.00 degrees. The inequivalent atoms are Cr at (0.250, 0.250, 0.000), Cd at (0.000, 0.000, 0.500) and Ru at (0.000, 0.500, 0.500).



Record 8
A relaxed TlB2F7 crystal, computed with PBE.

The volume is 15.0 Å³ per atom. The value obtained for the total magnetic moment is 0.00 μB/f.u. As for the uncorrected formation energy: -2306 meV per atom. The total energy comes out at -103.77 eV per cell.

The space group is Cmmm (No. 65) and the conventional cell measures 4.813, 22.499 and 2.776 Å, with angles of 90.00, 90.00 and 90.00 degrees. The inequivalent atoms are Tl at (0.000, 0.000, 0.000), B at (0.000, 0.337, 0.500), F at (0.000, 0.297, 0.000), F at (0.000, 0.500, 0.500) and F at (0.243, 0.364, 0.500).



Among the records above, which one has the highest total magnetic moment?
Rb2CuNi4



What is the total magnetic moment in the fourth record?
2.60 μB/f.u.



total magnetic moment of number 7 (Cr2CdRu)?
0.03 μB/f.u.



What is the total magnetic moment in the first record?
0.65 μB/f.u.